## Gd2Ga2AgAu (PBE)

Data for a relaxed Gd2Ga2AgAu crystal.

Structure (POSCAR):
```
Gd2Ga2AgAu
1.0
4.5855 0.0000 0.0000
-2.2928 3.9712 0.0000
0.0000 0.0000 7.1281
Ag Au Ga Gd
1 1 2 2
Cartesian
0.0000 2.6475 1.8492 Ag
0.0000 2.6475 5.2667 Au
0.0000 0.0000 1.5570 Ga
0.0000 0.0000 5.5701 Ga
2.2928 1.3237 3.5999 Gd
2.2928 1.3237 7.1053 Gd
```

## Properties
The value obtained for the electronic total energy is -25.4 eV per cell. The calculation puts the calculated volume at 130 Å³ per cell. The space-group type is P3m1.